Record 1
Below is a relaxed structure of TaTi3Ni, with properties calculated at the PBE level.

Cell: 4.7559 4.7559 4.7559 Å, 90.00 90.00 90.00°
Space group Pm-3m (No. 221)
Unique sites:
Ta (0.0000, 0.0000, 0.0000)
Ti (0.0000, 0.0000, 0.5000)
Ni (0.5000, 0.5000, 0.5000)


Record 2
Below is a relaxed structure of CdInW, with properties calculated at the PBE level.

Cell: 2.9328 4.0836 9.7813 Å, 90.00 90.00 90.00°
Space group Imm2 (No. 44)
Unique sites:
Cd (0.0000, 0.0000, 0.0000)
In (0.0000, 0.0000, 0.6798)
W (0.0000, 0.0000, 0.3397)


Number 1: polymorph energy (0 for the lowest one) 1.162 eV per atom, total magnetization 0.00 μB/f.u.. Number 2: polymorph energy (0 for the lowest one) 0.494 eV per atom, total magnetization 0.00 μB/f.u..